No. 1
## Na2UBr5 (GGA-PBE)

Data for crystalline Na2UBr5 at its relaxed geometry.

Raw total energy ... -133.437 eV per cell
Calculated volume ... 242.7 Å³/f.u.
Formation energy without anion corrections ... -1.38 eV/atom

Cell lengths 12.933, 8.893, 8.439 Å; angles 90.00, 90.00, 90.00 degrees
Space group Pnma (No. 62)
Inequivalent atoms, fractional coordinates:
Na (0.176, 0.011, 0.020) [8 per cell]
U (0.002, 0.750, 0.580) [4 per cell]
Br (0.001, 0.250, 0.059) [4 per cell]
Br (0.091, 0.045, 0.664) [8 per cell]
Br (0.182, 0.750, 0.363) [4 per cell]
Br (0.218, 0.250, 0.326) [4 per cell]


No. 2
## Na5U3Br12 (GGA-PBE)

Data for crystalline Na5U3Br12 at its relaxed geometry.

Raw total energy ... -670.762 eV per cell
Calculated volume ... 643.2 Å³/f.u.
Formation energy without anion corrections ... -1.17 eV/atom

Cell lengths 17.264, 17.264, 17.264 Å; angles 90.00, 90.00, 90.00 degrees
Space group Ia-3d (No. 230)
Inequivalent atoms, fractional coordinates:
Na (0.000, 0.000, 0.000) [16 per cell]
Na (0.000, 0.250, 0.375) [24 per cell]
U (0.000, 0.250, 0.125) [24 per cell]
Br (0.022, 0.071, 0.653) [96 per cell]